Entry 1:
DFT (GGA-PBEsol) results for a geometry-optimized La2IrRh structure.

Unit cell a=4.091 b=4.091 c=5.758 alpha=90.00 beta=90.00 gamma=90.00
Sites, in units of the cell vectors:
Ir 0.500 0.500 0.500
La 0.000 0.000 0.500
La 0.500 0.500 0.000
Rh 0.000 0.000 0.000

Computed properties:
The value obtained for the energy of formation is -451 meV per atom. Its total moment is 0.00 μB/f.u.

---

Entry 2:
DFT (GGA-PBEsol) results for a geometry-optimized LaIr3Ru structure.

Unit cell a=4.702 b=4.702 c=4.702 alpha=90.00 beta=90.00 gamma=90.00
Sites, in units of the cell vectors:
La 0.500 0.500 0.500
Ru 0.000 0.000 0.000
Ir 0.000 0.500 0.000
Ir 0.000 0.000 0.500
Ir 0.500 0.000 0.000

Computed properties:
The value obtained for the energy of formation is 786 meV per atom. Its total moment is 0.00 μB/f.u.

---

Entry 3:
DFT (GGA-PBEsol) results for a geometry-optimized La3IrRu structure.

Unit cell a=5.231 b=5.231 c=5.231 alpha=90.00 beta=90.00 gamma=90.00
Sites, in units of the cell vectors:
La 0.500 0.000 0.000
La 0.000 0.500 0.000
La 0.000 0.000 0.500
Ru 0.000 0.000 0.000
Ir 0.500 0.500 0.500

Computed properties:
The value obtained for the energy of formation is 227 meV per atom. Its total moment is 0.00 μB/f.u.

---

Entry 4:
DFT (GGA-PBEsol) results for a geometry-optimized La4IrRu structure.

Unit cell a=5.906 b=5.906 c=5.906 alpha=60.00 beta=60.00 gamma=60.00
Sites, in units of the cell vectors:
La 0.375 0.375 0.875
La 0.375 0.375 0.375
La 0.875 0.375 0.375
La 0.375 0.875 0.375
Ru 0.750 0.750 0.750
Ir 0.000 0.000 0.000

Computed properties:
The value obtained for the energy of formation is 894 meV per atom. Its total moment is 0.00 μB/f.u.

---

Entry 5:
DFT (GGA-PBEsol) results for a geometry-optimized LaIrS2 structure.

Unit cell a=4.667 b=4.667 c=4.667 alpha=60.00 beta=60.00 gamma=60.00
Last column: magnetic moment on the atom in μB.
Sites, in units of the cell vectors:
S 0.750 0.750 0.750  0.04
S 0.250 0.250 0.250  0.04
La 0.000 0.000 0.000  0.03
Ir 0.500 0.500 0.500  0.30

Computed properties:
As for the formation energy without anion corrections: -0.63 eV per atom. Its total moment is 0.44 μB/f.u.

---

Entry 6:
DFT (GGA-PBEsol) results for a geometry-optimized LaIrS2 structure.

Unit cell a=4.960 b=4.960 c=7.999 alpha=108.06 beta=108.06 gamma=90.00
Sites, in units of the cell vectors:
S 0.290 0.875 0.250
S 0.125 0.040 0.750
S 0.625 0.710 0.750
S 0.960 0.375 0.250
La 0.500 0.500 0.000
La 0.750 0.250 0.500
Ir 0.000 0.000 0.000
Ir 0.250 0.750 0.500

Computed properties:
As for the formation energy without anion corrections: -0.91 eV per atom. Its total moment is 0.00 μB/f.u.

---

Entry 7:
DFT (GGA-PBEsol) results for a geometry-optimized LaSb2Ir structure.

Unit cell a=4.309 b=4.903 c=4.903 alpha=107.14 beta=90.00 gamma=90.00
Sites, in units of the cell vectors:
La 0.500 0.000 0.000
Sb 0.000 0.696 0.304
Sb 0.000 0.304 0.696
Ir 0.500 0.500 0.500

Computed properties:
As for the formation energy without anion corrections: -0.73 eV per atom. Its total moment is 0.00 μB/f.u.

---

Entry 8:
DFT (GGA-PBEsol) results for a geometry-optimized LaSb4Ir structure.

Unit cell a=6.000 b=6.000 c=6.000 alpha=60.00 beta=60.00 gamma=60.00
Sites, in units of the cell vectors:
Sb 0.376 0.376 0.376
Sb 0.376 0.872 0.376
Sb 0.872 0.376 0.376
Sb 0.376 0.376 0.872
Ir 0.750 0.750 0.750
La 0.000 0.000 0.000

Computed properties:
As for the formation energy without anion corrections: 0.32 eV per atom. Its total moment is 0.00 μB/f.u.

---

These records have density of states at the Fermi level values of 1.4 5.5 3.9 7.1 5.3 1.6 0.4 5.4 states/eV per cell, in the order they appear.